[1]
La2PPb GGA-PBEsol relaxed; distance to the lowest polymorph of the same formula = 0.76 eV per formula unit; ΔE_f = -0.850 eV per atom; spin magnetization = 0.0 μB per cell
1.0
4.368 0.000 0.000
0.000 4.499 -0.001
-2.184 -0.586 5.750
La P Pb
2 1 1
Direct
0.997 0.136 0.994
0.265 0.611 0.529
0.521 0.655 0.042
0.718 0.097 0.435

***

[2]
Si5C GGA-PBEsol relaxed; calculated total energy = -5.7811 eV per atom; spin magnetization = 0.0 μB per cell
1.0
-2.444 0.354 1.429
1.935 -2.108 3.832
0.834 6.058 -0.073
Si C
5 1
Direct
0.500 0.145 0.291
0.000 0.333 0.666
0.500 0.528 0.055
0.000 0.722 0.445
0.500 0.910 0.820
0.000 0.028 0.056

***

[3]
HfRe3Se GGA-PBEsol relaxed; calculated total energy = -9.6957 eV per atom; spin magnetization = 0.0 μB per cell
1.0
4.485 0.000 0.000
0.000 4.485 0.000
0.000 0.000 4.485
Re Hf Se
3 1 1
Direct
0.000 0.500 0.000
0.000 0.000 0.500
0.500 0.000 0.000
0.500 0.500 0.500
0.000 0.000 0.000

***

[4]
K2CaSnCl GGA-PBEsol relaxed; calculated total energy = -2.5394 eV per atom; spin magnetization = 0.5 μB per cell
1.0
5.620 0.000 0.000
0.000 5.620 0.000
0.000 0.000 6.002
K Ca Sn Cl
2 1 1 1
Direct
0.000 0.500 0.000
0.500 0.000 0.000
0.500 0.500 0.500
0.000 0.000 0.500
0.000 0.000 0.000

***

[5]
ReIrPdW2 GGA-PBEsol relaxed; ΔE_f = 2.315 eV per atom; spin magnetization = 0.9 μB per cell
1.0
4.606 0.000 0.000
0.000 4.606 0.000
0.000 0.000 4.671
Re Ir Pd W
1 1 1 2
Direct
0.500 0.500 0.500
0.000 0.000 0.000
0.000 0.000 0.500
0.000 0.500 0.000
0.500 0.000 0.000

***

[6]
MoIrCl2 GGA-PBEsol relaxed; distance to the lowest polymorph of the same formula = 4.49 eV per formula unit; spin magnetization = 0.0 μB per cell
1.0
3.039 0.000 0.000
0.000 3.039 0.000
0.000 0.000 6.236
Mo Ir Cl
1 1 2
Direct
0.500 0.500 0.500
0.500 0.500 0.000
0.000 0.000 0.729
0.000 0.000 0.271

***

[7]
SrTiBrO2 GGA-PBEsol relaxed; calculated total energy = -6.6225 eV per atom; spin magnetization = 0.0 μB per cell
1.0
-1.137 -0.763 3.795
3.863 -0.476 1.062
0.303 4.827 1.061
Sr O Br Ti
1 2 1 1
Direct
0.500 0.500 0.500
0.000 0.500 0.000
0.500 0.000 0.000
0.000 0.000 0.500
0.000 0.000 0.000

***

[8]
SmSi2Rh GGA-PBEsol relaxed; calculated total energy = -7.1794 eV per atom; spin magnetization = 0.0 μB per cell
1.0
-3.675 -0.912 -1.650
-1.132 -1.856 3.549
-3.606 6.270 4.567
Si Rh Sm
4 2 2
Direct
0.750 0.251 0.500
0.250 0.750 0.500
0.250 0.039 0.923
0.750 0.961 0.077
0.250 0.179 0.643
0.750 0.821 0.357
0.750 0.605 0.790
0.250 0.395 0.210

***

[9]
CaYRe3 GGA-PBEsol relaxed; ΔE_f = 2.533 eV per atom; spin magnetization = 2.4 μB per cell
1.0
4.826 0.000 0.000
0.000 4.826 0.000
0.000 0.000 4.826
Y Re Ca
1 3 1
Direct
0.000 0.000 0.000
0.000 0.500 0.000
0.000 0.000 0.500
0.500 0.000 0.000
0.500 0.500 0.500

***

[10]
Rb2FeTePd GGA-PBEsol relaxed; calculated total energy = -3.6153 eV per atom; spin magnetization = 4.2 μB per cell
1.0
-3.350 -2.417 2.139
3.824 -4.849 0.508
1.965 2.124 5.479
Te Rb Pd Fe
1 2 1 1
Direct
0.500 0.500 0.500
0.000 0.000 0.500
0.000 0.500 0.000
0.000 0.000 0.000
0.500 0.000 0.000

***

[11]
MgAlCd2 GGA-PBEsol relaxed; ΔE_f = 0.011 eV per atom; spin magnetization = 0.0 μB per cell
1.0
3.062 0.000 0.000
0.000 3.062 0.000
0.000 0.000 8.523
Mg Al Cd
1 1 2
Direct
0.000 0.000 0.506
0.500 0.500 0.750
0.000 0.000 0.992
0.500 0.500 0.253

***

[12]
ReRh2W GGA-PBEsol relaxed; distance to the lowest polymorph of the same formula = 0.32 eV per formula unit; ΔE_f = -0.139 eV per atom; spin magnetization = 0.0 μB per cell
1.0
2.693 0.000 0.000
0.000 4.746 0.004
0.000 -1.696 4.433
Re Rh W
1 2 1
Direct
0.500 0.500 0.500
0.000 0.500 0.000
0.000 0.000 0.500
0.500 0.000 0.000